This record from the Alexandria database describes a relaxed NaHfNi2C crystal. The functional is PBE.

a = 4.155 Å, b = 4.155 Å, c = 4.214 Å
α = 90.00°, β = 90.00°, γ = 90.00°
Space group P4/mmm (No. 123)
Unique sites:
Na 0.000 0.000 0.000
Hf 0.500 0.500 0.500
Ni 0.000 0.500 0.000
C 0.000 0.000 0.500

Properties
**Formation energy**: 165.5 kJ/mol of atoms
**VASP energy**: -0.34522 Ry/atom
**Total magnetic moment**: 0.000 μB/atom

This record from the Alexandria database describes a relaxed NaHfCO5 crystal. The functional is PBE.

a = 6.799 Å, b = 8.443 Å, c = 7.435 Å
α = 90.00°, β = 116.75°, γ = 90.00°
Space group C2/c (No. 15)
Unique sites:
Na 0.000 0.161 0.250
Hf 0.000 0.500 0.000
C 0.000 0.178 0.750
O 0.000 0.416 0.250
O 0.071 0.271 0.635
O 0.169 0.079 0.880

Properties
**VASP energy**: -0.55811 Ry/atom
**Total magnetic moment**: 0.131 μB/atom
**E_form (uncorrected)**: -1.933 eV per atom

This record from the Alexandria database describes a relaxed NaHfPCO7 crystal. The functional is PBE.

a = 5.705 Å, b = 6.624 Å, c = 10.643 Å
α = 90.00°, β = 94.24°, γ = 90.00°
Space group P2_1 (No. 4)
Unique sites:
Na 0.224 0.000 0.066
Hf 0.278 0.408 0.640
P 0.247 0.908 0.556
C 0.221 0.373 0.879
O 0.003 0.406 0.511
O 0.046 0.409 0.793
O 0.187 0.327 0.991
O 0.279 0.097 0.638
O 0.282 0.718 0.639
O 0.427 0.908 0.454
O 0.430 0.388 0.833

Properties
**VASP energy**: -0.57926 Ry/atom
**Total magnetic moment**: 0.003 μB/atom
**E_form (uncorrected)**: -2.371 eV per atom

This record from the Alexandria database describes a relaxed NaHfOsC2 crystal. The functional is PBE.

a = 4.054 Å, b = 4.054 Å, c = 4.675 Å
α = 90.00°, β = 90.00°, γ = 90.00°
Space group P4/mmm (No. 123)
Unique sites:
Na 0.000 0.000 0.000
Hf 0.500 0.500 0.500
Os 0.000 0.000 0.500
C 0.000 0.500 0.000

Properties
**Formation energy**: 276.4 kJ/mol of atoms
**VASP energy**: -0.39144 Ry/atom
**Total magnetic moment**: 0.000 μB/atom

This record from the Alexandria database describes a relaxed NaHfZr2C crystal. The functional is PBE.

a = 4.581 Å, b = 4.581 Å, c = 4.784 Å
α = 90.00°, β = 90.00°, γ = 90.00°
Space group P4/mmm (No. 123)
Unique sites:
Na 0.000 0.000 0.000
Hf 0.500 0.500 0.000
Zr 0.000 0.500 0.500
C 0.000 0.000 0.500

Properties
**Formation energy**: 36.9 kJ/mol of atoms
**VASP energy**: -0.52452 Ry/atom
**Total magnetic moment**: 0.000 μB/atom

This record from the Alexandria database describes a relaxed HfNbC2 crystal. The functional is PBE.

a = 3.1912 Å, b = 3.1912 Å, c = 16.6732 Å
α = 90.00°, β = 90.00°, γ = 120.00°
Space group R3m (No. 160, hexagonal axes)
Unique sites:
Hf 0.0000 0.0000 0.0000
Nb 0.0000 0.0000 0.1749
C 0.0000 0.0000 0.4241
C 0.0000 0.0000 0.5889

Properties
**Formation energy**: -47.4 kJ/mol of atoms
**Polymorph energy (0 for the lowest one)**: 243 meV/atom
**VASP energy**: -0.74299 Ry/atom
**Total magnetic moment**: 0.000 μB/atom

This record from the Alexandria database describes a relaxed Hf3NbC crystal. The functional is PBE.

a = 4.509 Å, b = 4.509 Å, c = 4.509 Å
α = 90.00°, β = 90.00°, γ = 90.00°
Space group Pm-3m (No. 221)
Unique sites:
Hf 0.000 0.000 0.500
Nb 0.500 0.500 0.500
C 0.000 0.000 0.000

Properties
**Formation energy**: -23.3 kJ/mol of atoms
**Polymorph energy (0 for the lowest one)**: 0 meV/atom
**VASP energy**: -0.74030 Ry/atom
**Total magnetic moment**: 0.000 μB/atom

This record from the Alexandria database describes a relaxed Hf5NbC4 crystal. The functional is PBE.

a = 14.089 Å, b = 3.278 Å, c = 6.534 Å
α = 90.00°, β = 103.99°, γ = 90.00°
Space group C2/m (No. 12)
Unique sites:
Hf 0.000 0.000 0.000
Hf 0.164 0.500 0.821
Hf 0.165 0.500 0.348
Nb 0.000 0.000 0.500
C 0.002 0.500 0.750
C 0.168 0.000 0.589

Properties
**Formation energy**: -68.0 kJ/mol of atoms
**VASP energy**: -0.76277 Ry/atom
**Total magnetic moment**: 0.000 μB/atom

This record from the Alexandria database describes a relaxed Hf2NbC3 crystal. The functional is PBE.

a = 6.498 Å, b = 4.600 Å, c = 9.751 Å
α = 90.00°, β = 90.00°, γ = 90.00°
Space group Pnma (No. 62)
Unique sites:
Hf 0.125 0.250 0.249
Hf 0.127 0.250 0.917
Nb 0.123 0.250 0.585
C 0.123 0.750 0.582
C 0.124 0.750 0.251
C 0.127 0.750 0.917

Properties
**Formation energy**: -77.5 kJ/mol of atoms
**VASP energy**: -0.76519 Ry/atom
**Total magnetic moment**: 0.000 μB/atom

This record from the Alexandria database describes a relaxed Hf2Nb2C3 crystal. The functional is PBE.

a = 10.833 Å, b = 3.250 Å, c = 5.534 Å
α = 90.00°, β = 102.90°, γ = 90.00°
Space group C2/m (No. 12)
Unique sites:
Hf 0.121 0.000 0.369
Nb 0.138 0.500 0.859
C 0.000 0.500 0.500
C 0.250 0.000 0.750

Properties
**Formation energy**: -71.6 kJ/mol of atoms
**VASP energy**: -0.76558 Ry/atom
**Total magnetic moment**: 0.000 μB/atom

This record from the Alexandria database describes a relaxed Hf5NbC6 crystal. The functional is PBE.

a = 5.663 Å, b = 9.804 Å, c = 5.661 Å
α = 90.00°, β = 109.50°, γ = 90.00°
Space group C2/m (No. 12)
Unique sites:
Hf 0.000 0.000 0.000
Hf 0.000 0.167 0.500
Hf 0.000 0.333 0.000
Nb 0.000 0.500 0.500
C 0.247 0.335 0.747
C 0.247 0.500 0.252

Properties
**Formation energy**: -85.6 kJ/mol of atoms
**VASP energy**: -0.77070 Ry/atom
**Total magnetic moment**: 0.000 μB/atom

This record from the Alexandria database describes a relaxed HfNbC2 crystal. The functional is PBE.

a = 5.702 Å, b = 5.702 Å, c = 5.702 Å
α = 90.00°, β = 90.00°, γ = 90.00°
Space group Fm-3m (No. 225)
Unique sites:
Hf 0.000 0.000 0.000
Nb 0.000 0.000 0.500
C 0.250 0.250 0.250

Properties
**Formation energy**: 42.6 kJ/mol of atoms
**Polymorph energy (0 for the lowest one)**: 1176 meV/atom
**VASP energy**: -0.67444 Ry/atom
**Total magnetic moment**: 0.000 μB/atom

This record from the Alexandria database describes a relaxed HfNbC2 crystal. The functional is PBE.

a = 4.954 Å, b = 4.954 Å, c = 9.856 Å
α = 90.00°, β = 90.00°, γ = 90.00°
Space group I-42d (No. 122)
Unique sites:
Hf 0.000 0.000 0.000
Nb 0.000 0.000 0.500
C 0.234 0.250 0.625

Properties
**Formation energy**: -13.2 kJ/mol of atoms
**Polymorph energy (0 for the lowest one)**: 597 meV/atom
**VASP energy**: -0.71695 Ry/atom
**Total magnetic moment**: 0.000 μB/atom

This record from the Alexandria database describes a relaxed HfNbC2 crystal. The functional is PBE.

a = 3.2282 Å, b = 3.2282 Å, c = 15.8753 Å
α = 90.00°, β = 90.00°, γ = 120.00°
Space group R-3m (No. 166, hexagonal axes)
Unique sites:
Hf 0.0000 0.0000 0.0000
Nb 0.0000 0.0000 0.5000
C 0.0000 0.0000 0.2481

Properties
**Formation energy**: -70.9 kJ/mol of atoms
**Polymorph energy (0 for the lowest one)**: 0 meV/atom
**VASP energy**: -0.76086 Ry/atom
**Total magnetic moment**: 0.000 μB/atom

This record from the Alexandria database describes a relaxed HfNbC2 crystal. The functional is PBE.

a = 5.586 Å, b = 5.641 Å, c = 3.207 Å
α = 90.00°, β = 90.00°, γ = 90.00°
Space group Pnnm (No. 58)
Unique sites:
Hf 0.000 0.000 0.000
Nb 0.000 0.500 0.000
C 0.166 0.255 0.500

Properties
**Formation energy**: -25.5 kJ/mol of atoms
**Polymorph energy (0 for the lowest one)**: 470 meV/atom
**VASP energy**: -0.72635 Ry/atom
**Total magnetic moment**: 0.000 μB/atom

This record from the Alexandria database describes a relaxed Hf3NbC crystal. The functional is PBE.

a = 5.011 Å, b = 5.011 Å, c = 5.011 Å
α = 90.00°, β = 90.00°, γ = 90.00°
Space group Pm-3m (No. 221)
Unique sites:
Hf 0.000 0.000 0.500
Nb 0.000 0.000 0.000
C 0.500 0.500 0.500

Properties
**Formation energy**: 217.0 kJ/mol of atoms
**Polymorph energy (0 for the lowest one)**: 2491 meV/atom
**VASP energy**: -0.55724 Ry/atom
**Total magnetic moment**: 0.000 μB/atom

This record from the Alexandria database describes a relaxed Hf4NbC5 crystal. The functional is PBE.

a = 7.296 Å, b = 7.296 Å, c = 4.623 Å
α = 90.00°, β = 90.00°, γ = 90.00°
Space group I4/m (No. 87)
Unique sites:
Hf 0.099 0.700 0.000
Nb 0.000 0.000 0.500
C 0.000 0.000 0.000
C 0.099 0.703 0.500

Properties
**Formation energy**: -83.7 kJ/mol of atoms
**VASP energy**: -0.76938 Ry/atom
**Total magnetic moment**: 0.000 μB/atom

This record from the Alexandria database describes a relaxed Hf2NbC3 crystal. The functional is PBE.

a = 3.251 Å, b = 4.596 Å, c = 9.751 Å
α = 90.00°, β = 90.00°, γ = 90.00°
Space group Immm (No. 71)
Unique sites:
Hf 0.000 0.000 0.167
Nb 0.000 0.000 0.500
C 0.000 0.500 0.164
C 0.000 0.500 0.500

Properties
**Formation energy**: -77.6 kJ/mol of atoms
**VASP energy**: -0.76529 Ry/atom
**Total magnetic moment**: 0.000 μB/atom

This record from the Alexandria database describes a relaxed HfNb5C4 crystal. The functional is PBE.

a = 13.846 Å, b = 3.173 Å, c = 6.362 Å
α = 90.00°, β = 104.34°, γ = 90.00°
Space group C2/m (No. 12)
Unique sites:
Hf 0.000 0.000 0.000
Nb 0.000 0.000 0.500
Nb 0.165 0.500 0.846
Nb 0.168 0.500 0.326
C 0.004 0.500 0.259
C 0.169 0.000 0.089

Properties
**Formation energy**: -52.5 kJ/mol of atoms
**VASP energy**: -0.75438 Ry/atom
**Total magnetic moment**: 0.000 μB/atom

This record from the Alexandria database describes a relaxed HfNb5C6 crystal. The functional is PBE.

a = 5.543 Å, b = 9.610 Å, c = 5.545 Å
α = 90.00°, β = 109.61°, γ = 90.00°
Space group C2/m (No. 12)
Unique sites:
Hf 0.000 0.000 0.000
Nb 0.000 0.166 0.500
Nb 0.000 0.333 0.000
Nb 0.000 0.500 0.500
C 0.248 0.500 0.249
C 0.249 0.333 0.747

Properties
**Formation energy**: -54.4 kJ/mol of atoms
**VASP energy**: -0.74978 Ry/atom
**Total magnetic moment**: 0.000 μB/atom

This record from the Alexandria database describes a relaxed HfPaNb2C4 crystal. The functional is PBE.

a = 5.750 Å, b = 3.279 Å, c = 5.790 Å
α = 90.00°, β = 109.10°, γ = 90.00°
Space group P2/m (No. 10)
Unique sites:
Hf 0.000 0.000 0.000
Pa 0.500 0.500 0.000
Nb 0.000 0.500 0.500
Nb 0.500 0.000 0.500
C 0.236 0.000 0.732
C 0.248 0.500 0.260

Properties
**Formation energy**: -56.4 kJ/mol of atoms
**VASP energy**: -0.74566 Ry/atom
**Total magnetic moment**: 0.000 μB/atom

This record from the Alexandria database describes a relaxed HfNb2RhC crystal. The functional is PBE.

a = 4.766 Å, b = 4.766 Å, c = 4.960 Å
α = 90.00°, β = 90.00°, γ = 90.00°
Space group P4/mmm (No. 123)
Unique sites:
Hf 0.000 0.000 0.000
Nb 0.000 0.500 0.500
Rh 0.000 0.000 0.500
C 0.500 0.500 0.000

Properties
**Formation energy**: 186.5 kJ/mol of atoms
**VASP energy**: -0.54397 Ry/atom
**Total magnetic moment**: 0.000 μB/atom

This record from the Alexandria database describes a relaxed HfNbSn2C crystal. The functional is PBE.

a = 4.789 Å, b = 4.789 Å, c = 4.208 Å
α = 90.00°, β = 90.00°, γ = 90.00°
Space group P4/mmm (No. 123)
Unique sites:
Hf 0.000 0.000 0.000
Nb 0.500 0.500 0.000
Sn 0.000 0.500 0.500
C 0.500 0.500 0.500

Properties
**Formation energy**: 46.4 kJ/mol of atoms
**VASP energy**: -0.51228 Ry/atom
**Total magnetic moment**: 0.000 μB/atom

This record from the Alexandria database describes a relaxed HfTa2NbC4 crystal. The functional is PBE.

a = 5.544 Å, b = 3.198 Å, c = 5.548 Å
α = 90.00°, β = 109.62°, γ = 90.00°
Space group P2/m (No. 10)
Unique sites:
Hf 0.000 0.000 0.000
Ta 0.000 0.500 0.500
Ta 0.500 0.000 0.500
Nb 0.500 0.500 0.000
C 0.249 0.000 0.743
C 0.254 0.500 0.257

Properties
**Formation energy**: -64.5 kJ/mol of atoms
**VASP energy**: -0.78982 Ry/atom
**Total magnetic moment**: 0.000 μB/atom